An optimized crystal structure of Ce2MoWN6. Source: Alexandria, functional PBE.

Properties
N(E_F): 10.82 states/eV/cell
Raw formation energy: -0.969 eV per atom
Symmetry: P2_1/c (14)

```
data_Ce2MoWN6
_cell_length_a 5.527
_cell_length_b 5.653
_cell_length_c 9.631
_cell_angle_alpha 90.00
_cell_angle_beta 124.99
_cell_angle_gamma 90.00
_space_group_name_H-M_alt 'P 1'
_space_group_IT_number 1
loop_
_space_group_symop_operation_xyz
'x,y,z'
loop_
_atom_site_label
_atom_site_type_symbol
_atom_site_fract_x
_atom_site_fract_y
_atom_site_fract_z
Ce1 Ce 0.246 0.055 0.250
Ce2 Ce 0.246 0.445 0.750
Ce3 Ce 0.754 0.555 0.250
Ce4 Ce 0.754 0.945 0.750
Mo1 Mo 0.500 0.000 0.000
Mo2 Mo 0.500 0.500 0.500
W1 W 0.000 0.000 0.500
W2 W 0.000 0.500 0.000
N1 N 0.153 0.200 0.958
N2 N 0.153 0.300 0.458
N3 N 0.260 0.698 0.958
N4 N 0.260 0.802 0.458
N5 N 0.331 0.020 0.749
N6 N 0.331 0.480 0.249
N7 N 0.669 0.520 0.751
N8 N 0.669 0.980 0.251
N9 N 0.740 0.198 0.542
N10 N 0.740 0.302 0.042
N11 N 0.847 0.700 0.542
N12 N 0.847 0.800 0.042
```

=====

An optimized crystal structure of CeY2MoN4. Source: Alexandria, functional PBE.

Properties
N(E_F): 13.76 states/eV/cell
Raw formation energy: -1.135 eV per atom
Symmetry: Cmcm (63)

```
data_CeY2MoN4
_cell_length_a 6.143
_cell_length_b 6.143
_cell_length_c 11.817
_cell_angle_alpha 90.00
_cell_angle_beta 90.00
_cell_angle_gamma 147.76
_space_group_name_H-M_alt 'P 1'
_space_group_IT_number 1
loop_
_space_group_symop_operation_xyz
'x,y,z'
loop_
_atom_site_label
_atom_site_type_symbol
_atom_site_fract_x
_atom_site_fract_y
_atom_site_fract_z
Ce1 Ce 0.104 0.896 0.750
Ce2 Ce 0.896 0.104 0.250
Y1 Y 0.370 0.630 0.539
Y2 Y 0.370 0.630 0.961
Y3 Y 0.630 0.370 0.039
Y4 Y 0.630 0.370 0.461
Mo1 Mo 0.156 0.844 0.250
Mo2 Mo 0.844 0.156 0.750
N1 N 0.000 0.000 0.000
N2 N 0.000 0.000 0.500
N3 N 0.264 0.736 0.126
N4 N 0.264 0.736 0.374
N5 N 0.448 0.552 0.750
N6 N 0.552 0.448 0.250
N7 N 0.736 0.264 0.626
N8 N 0.736 0.264 0.874
```

=====

An optimized crystal structure of Ce2ZnMoN5. Source: Alexandria, functional PBE.

Properties
N(E_F): 3.09 states/eV/cell
Raw formation energy: -0.767 eV per atom
Symmetry: Cmc2_1 (36)

```
data_Ce2ZnMoN5
_cell_length_a 7.064
_cell_length_b 7.064
_cell_length_c 9.984
_cell_angle_alpha 90.00
_cell_angle_beta 90.00
_cell_angle_gamma 153.24
_space_group_name_H-M_alt 'P 1'
_space_group_IT_number 1
loop_
_space_group_symop_operation_xyz
'x,y,z'
loop_
_atom_site_label
_atom_site_type_symbol
_atom_site_fract_x
_atom_site_fract_y
_atom_site_fract_z
Ce1 Ce 0.121 0.879 0.500
Ce2 Ce 0.131 0.869 0.084
Ce3 Ce 0.869 0.131 0.584
Ce4 Ce 0.879 0.121 0.000
Zn1 Zn 0.491 0.509 0.273
Zn2 Zn 0.509 0.491 0.773
Mo1 Mo 0.212 0.788 0.799
Mo2 Mo 0.788 0.212 0.299
N1 N 0.073 0.927 0.837
N2 N 0.284 0.716 0.445
N3 N 0.296 0.704 0.159
N4 N 0.358 0.642 0.803
N5 N 0.500 0.500 0.069
N6 N 0.500 0.500 0.569
N7 N 0.642 0.358 0.303
N8 N 0.704 0.296 0.659
N9 N 0.716 0.284 0.945
N10 N 0.927 0.073 0.337
```

=====

An optimized crystal structure of Ce2ZrMoN5. Source: Alexandria, functional PBE.

Properties
N(E_F): 11.47 states/eV/cell
Raw formation energy: -1.236 eV per atom
Symmetry: Cmc2_1 (36)

```
data_Ce2ZrMoN5
_cell_length_a 6.984
_cell_length_b 6.984
_cell_length_c 10.332
_cell_angle_alpha 90.00
_cell_angle_beta 90.00
_cell_angle_gamma 151.77
_space_group_name_H-M_alt 'P 1'
_space_group_IT_number 1
loop_
_space_group_symop_operation_xyz
'x,y,z'
loop_
_atom_site_label
_atom_site_type_symbol
_atom_site_fract_x
_atom_site_fract_y
_atom_site_fract_z
Ce1 Ce 0.113 0.887 0.500
Ce2 Ce 0.144 0.856 0.109
Ce3 Ce 0.856 0.144 0.609
Ce4 Ce 0.887 0.113 0.000
Zr1 Zr 0.213 0.787 0.818
Zr2 Zr 0.787 0.213 0.318
Mo1 Mo 0.475 0.525 0.274
Mo2 Mo 0.525 0.475 0.774
N1 N 0.045 0.955 0.864
N2 N 0.282 0.718 0.469
N3 N 0.320 0.680 0.182
N4 N 0.370 0.630 0.813
N5 N 0.489 0.511 0.595
N6 N 0.511 0.489 0.095
N7 N 0.630 0.370 0.313
N8 N 0.680 0.320 0.682
N9 N 0.718 0.282 0.969
N10 N 0.955 0.045 0.364
```